No. 1
Below is crystalline PaSe2Cl5 at its relaxed geometry, with properties calculated at the PBE level.

Cell lengths 5.3219, 8.5838, 8.5844 Å; angles 83.99, 71.93, 71.92 degrees
Last column: magnetic moment on the atom in μB.
Sites, in units of the cell vectors:
Pa1 0.9640 0.0000 0.0000  0.14
Se1 0.6788 0.5000 0.5000  0.00
Se2 0.2612 0.5000 0.5000  0.00
Cl1 0.8111 0.9983 0.3068  0.00
Cl2 0.1169 0.6931 0.0012  0.00
Cl3 0.8106 0.3069 0.9988  0.00
Cl4 0.1164 0.0017 0.6931  0.00
Cl5 0.4639 0.0000 0.0000  0.00

Properties
Density of states at the Fermi level   4.991 states/eV/cell
E_form (uncorrected)   -1.21 eV per atom
Mass density   2.7 g cm⁻³

No. 2
Below is crystalline PaSe2Cl8 at its relaxed geometry, with properties calculated at the PBE level.

Cell lengths 10.0443, 8.0233, 8.0233 Å; angles 59.12, 121.57, 121.57 degrees
Last column: magnetic moment on the atom in μB.
Sites, in units of the cell vectors:
Pa1 0.0000 0.0000 0.0000  0.01
Se1 0.4661 0.0684 0.0684  0.26
Se2 0.5339 0.9316 0.9316  0.26
Cl1 0.1011 0.1521 0.7007  0.01
Cl2 0.1011 0.7007 0.1521  0.01
Cl3 0.8989 0.8479 0.2993  0.01
Cl4 0.2811 0.7721 0.7721  0.05
Cl5 0.8989 0.2993 0.8479  0.01
Cl6 0.2942 0.2023 0.2023  0.00
Cl7 0.7058 0.7977 0.7977  0.00
Cl8 0.7189 0.2279 0.2279  0.05

Properties
Density of states at the Fermi level   0.024 states/eV/cell
E_form (uncorrected)   -1.09 eV per atom
Mass density   2.5 g cm⁻³

No. 3
Below is crystalline PaSeCl at its relaxed geometry, with properties calculated at the PBE level.

Cell lengths 4.8333, 4.8333, 4.8333 Å; angles 60.00, 60.00, 60.00 degrees
Last column: magnetic moment on the atom in μB.
Sites, in units of the cell vectors:
Pa1 0.2500 0.2500 0.2500  1.71
Se1 0.0000 0.0000 0.0000  -0.03
Cl1 0.5000 0.5000 0.5000  -0.03

Properties
Density of states at the Fermi level   7.726 states/eV/cell
E_form (uncorrected)   -1.24 eV per atom
Mass density   7.2 g cm⁻³

No. 4
Below is crystalline Pa4Se5Cl at its relaxed geometry, with properties calculated at the PBE level.

Cell lengths 4.0116, 7.8905, 8.9540 Å; angles 103.49, 102.94, 90.00 degrees
Last column: magnetic moment on the atom in μB.
Sites, in units of the cell vectors:
Pa1 0.3387 0.9178 0.6775  0.59
Pa2 0.0035 0.7647 0.0071  0.24
Pa3 0.6613 0.0822 0.3225  0.59
Pa4 0.9965 0.2353 0.9929  0.24
Se1 0.8367 0.6627 0.6733  -0.02
Se2 0.8284 0.1790 0.6568  -0.02
Se3 0.1716 0.8210 0.3432  -0.02
Se4 0.5000 0.5000 0.0000  -0.01
Se5 0.1633 0.3373 0.3267  -0.02
Cl1 0.5000 0.0000 0.0000  -0.01

Properties
Density of states at the Fermi level   14.051 states/eV/cell
E_form (uncorrected)   -1.21 eV per atom
Mass density   8.4 g cm⁻³

- Among the records above, which one has the lowest density of states at the Fermi level?
  PaSe2Cl8